Ca3LaZn8 | PBE-GGA | optimized geometry

POSCAR file:
```
Ca3LaZn8
1.0
2.796 1.614 9.153
-2.796 1.614 9.153
0.000 -3.228 9.153
Ca La Zn
3 1 8
Cartesian
0.000 0.000 0.000 Ca
0.000 0.000 3.427 Ca
0.000 0.000 17.202 Ca
0.000 0.000 13.764 La
-1.399 -0.808 10.874 Zn
0.000 -1.623 6.326 Zn
-1.405 0.811 6.326 Zn
0.000 0.000 8.618 Zn
1.399 -0.808 10.874 Zn
0.000 1.615 10.874 Zn
1.405 0.811 6.326 Zn
0.000 0.000 22.322 Zn
```

Calculated values
* final energy: -24.35 eV/cell
* DOS(E_F): 8.67 states/eV/cell
* crystal system: trigonal
* energy relative to the lowest polymorph listed for this composition: 7 meV per atom
* formation energy: -0.2690 eV/atom
* space-group type: R3m (160)
* calculated volume: 247.79 Å³/cell

---

Ba2ZnBr | PBE-GGA | optimized geometry

POSCAR file:
```
Ba2ZnBr
1.0
2.345 1.354 8.586
-2.345 1.354 8.586
0.000 -2.708 8.586
Ba Zn Br
2 1 1
Cartesian
0.000 0.000 6.331 Ba
0.000 0.000 19.426 Ba
0.000 0.000 12.878 Zn
0.000 0.000 0.000 Br
```

Calculated values
* final energy: -10.16 eV/cell
* DOS(E_F): 3.77 states/eV/cell
* crystal system: trigonal
* energy relative to the lowest polymorph listed for this composition: 45 meV per atom
* space-group type: R-3m (166)
* ΔE_f (raw): -0.84 eV/atom
* calculated volume: 163.59 Å³/cell

---

BaCdAs2Br | PBE-GGA | optimized geometry

POSCAR file:
```
BaCdAs2Br
1.0
5.132 0.000 0.000
0.000 5.132 0.000
0.000 0.000 6.087
Ba Cd As Br
1 1 2 1
Cartesian
0.000 0.000 0.000 Ba
2.566 2.566 3.044 Cd
0.000 2.566 3.044 As
2.566 0.000 3.044 As
2.566 2.566 0.000 Br
```

Calculated values
* final energy: -15.73 eV/cell
* DOS(E_F): 5.23 states/eV/cell
* crystal system: tetragonal
* energy relative to the lowest polymorph listed for this composition: 0 meV per atom
* space-group type: P4/mmm (123)
* ΔE_f (raw): -0.38 eV/atom
* calculated volume: 160.30 Å³/cell